# AlIr3Rh (GGA-PBE, relaxed)
# Crystal system: cubic
# Symmetry: Pm-3m
# ΔH_f (0 K): 1236.4 meV/atom
# Calculated volume: 85.57 Å³/f.u.
# Energy above the lowest structure with this stoichiometry: 0.000 eV per atom
data_AlIr3Rh
_chemical_formula_sum 'Al1 Ir3 Rh1'
_cell_length_a 4.4066
_cell_length_b 4.4066
_cell_length_c 4.4066
_cell_angle_alpha 90.00
_cell_angle_beta 90.00
_cell_angle_gamma 90.00
_symmetry_space_group_name_H-M 'P 1'
_symmetry_Int_Tables_number 1
_symmetry_space_group_name_Hall 'P 1'
loop_
_atom_site_label
_atom_site_fract_x
_atom_site_fract_y
_atom_site_fract_z
Al1 0.0000 0.0000 0.0000
Ir1 0.0000 0.0000 0.5000
Ir2 0.0000 0.5000 0.0000
Ir3 0.5000 0.0000 0.0000
Rh1 0.5000 0.5000 0.5000



# Tb4Pm5Tm (GGA-PBE, relaxed)
# Crystal system: monoclinic
# Symmetry: C2/m
# ΔH_f (0 K): 36.2 meV/atom
# Calculated volume: 331.79 Å³/f.u.
# Energy above the lowest structure with this stoichiometry: 0.000 eV per atom
data_Tb4Pm5Tm
_chemical_formula_sum 'Tb4 Pm5 Tm1'
_cell_length_a 8.7278
_cell_length_b 8.7278
_cell_length_c 11.5110
_cell_angle_alpha 108.51
_cell_angle_beta 108.51
_cell_angle_gamma 23.58
_symmetry_space_group_name_H-M 'P 1'
_symmetry_Int_Tables_number 1
_symmetry_space_group_name_Hall 'P 1'
loop_
_atom_site_label
_atom_site_fract_x
_atom_site_fract_y
_atom_site_fract_z
Tb1 0.0834 0.0834 0.2898
Tb2 0.3951 0.3951 0.2030
Tb3 0.6049 0.6049 0.7970
Tb4 0.9166 0.9166 0.7102
Pm1 0.1881 0.1881 0.0768
Pm2 0.2102 0.2102 0.6154
Pm3 0.5000 0.5000 0.5000
Pm4 0.7898 0.7898 0.3846
Pm5 0.8119 0.8119 0.9232
Tm1 0.5000 0.5000 0.0000



# LiCdSe2 (GGA-PBE, relaxed)
# Crystal system: trigonal
# Symmetry: R-3m
# Calculated volume: 84.87 Å³/f.u.
# Raw formation energy: -0.583 eV/atom
data_LiCdSe2
_chemical_formula_sum 'Li1 Cd1 Se2'
_cell_length_a 6.5537
_cell_length_b 6.5537
_cell_length_c 6.5537
_cell_angle_alpha 35.51
_cell_angle_beta 35.51
_cell_angle_gamma 35.51
_symmetry_space_group_name_H-M 'P 1'
_symmetry_Int_Tables_number 1
_symmetry_space_group_name_Hall 'P 1'
loop_
_atom_site_label
_atom_site_fract_x
_atom_site_fract_y
_atom_site_fract_z
Li1 0.0000 0.0000 0.0000
Cd1 0.5000 0.5000 0.5000
Se1 0.2545 0.2545 0.2545
Se2 0.7455 0.7455 0.7455



What did the second record say?
# Tb4Pm5Tm (GGA-PBE, relaxed)
# Crystal system: monoclinic
# Symmetry: C2/m
# ΔH_f (0 K): 36.2 meV/atom
# Calculated volume: 331.79 Å³/f.u.
# Energy above the lowest structure with this stoichiometry: 0.000 eV per atom
data_Tb4Pm5Tm
_chemical_formula_sum 'Tb4 Pm5 Tm1'
_cell_length_a 8.7278
_cell_length_b 8.7278
_cell_length_c 11.5110
_cell_angle_alpha 108.51
_cell_angle_beta 108.51
_cell_angle_gamma 23.58
_symmetry_space_group_name_H-M 'P 1'
_symmetry_Int_Tables_number 1
_symmetry_space_group_name_Hall 'P 1'
loop_
_atom_site_label
_atom_site_fract_x
_atom_site_fract_y
_atom_site_fract_z
Tb1 0.0834 0.0834 0.2898
Tb2 0.3951 0.3951 0.2030
Tb3 0.6049 0.6049 0.7970
Tb4 0.9166 0.9166 0.7102
Pm1 0.1881 0.1881 0.0768
Pm2 0.2102 0.2102 0.6154
Pm3 0.5000 0.5000 0.5000
Pm4 0.7898 0.7898 0.3846
Pm5 0.8119 0.8119 0.9232
Tm1 0.5000 0.5000 0.0000



Look up the calculated volume of the third one. 84.87 Å³/f.u.